Model one:
4
Lattice="-3.0498 1.2806 -2.6505 2.3269 -3.4156 -0.9398 -3.9399 -4.2909 5.8458" Properties=species:S:1:pos:R:3 comment="AcPmHgRh PBE optimized geometry" mass_density_g_cm3=9.15 pbc="T T T"
Ac -3.8270 -2.7399 2.4371
Pm 1.6092 -3.4188 -0.7552
Hg -3.4299 -1.5687 -0.8434
Rh -3.1141 -5.2559 3.7898

---

Model two:
4
Lattice="-2.3468 4.6488 1.2023 -4.2820 0.0837 3.1971 0.3945 1.9929 4.9434" Properties=species:S:1:pos:R:3 comment="AcPmHgRh PBE optimized geometry" mass_density_g_cm3=10.39 pbc="T T T"
Ac -4.6757 5.0440 7.0072
Rh 0.0000 0.0000 0.0000
Hg -3.1171 3.3627 4.6715
Pm -1.5586 1.6813 2.3357

---

Stability summary: most stable model one, least stable model two.

---

Model one:
4
Lattice="5.6555 0.0000 0.0000 2.8278 4.8978 0.0000 2.8278 1.6326 4.6177" Properties=species:S:1:pos:R:3 comment="AcPmSmHg PBE optimized geometry" mass_density_g_cm3=9.39 pbc="T T T"
Ac 8.4833 4.8978 3.4633
Hg 2.8278 1.6326 1.1544
Sm 5.6555 3.2652 2.3089
Pm 0.0000 0.0000 0.0000

---

Model two:
4
Lattice="-0.3721 2.9579 -2.3987 -3.3994 -1.3444 -1.1304 -4.0233 4.7370 6.4655" Properties=species:S:1:pos:R:3 comment="AcPmSmHg PBE optimized geometry" mass_density_g_cm3=9.14 pbc="T T T"
Ac -0.2814 0.3313 0.4522
Pm -3.3406 2.5197 0.5734
Sm -5.0232 4.5007 3.2774
Hg -2.3067 2.7159 3.7069

---

Stability summary: most stable model two, least stable model one.

---

Model one:
5
Lattice="4.2045 0.0000 0.0000 2.1023 6.6923 0.2348 2.1023 2.0184 6.3850" Properties=species:S:1:pos:R:3 comment="Ac2PrHg2 PBE optimized geometry" mass_density_g_cm3=9.31 pbc="T T T"
Ac 2.1023 2.5545 1.9413
Ac 6.3068 6.1561 4.6784
Pr 0.0000 0.0000 0.0000
Hg 4.2045 3.4185 4.5426
Hg 4.2045 5.2921 2.0772

---

Model two:
5
Lattice="3.9213 0.0000 0.0000 0.0000 3.9101 0.7409 0.0000 -0.1233 11.3394" Properties=species:S:1:pos:R:3 comment="Ac2PrHg2 PBE optimized geometry" mass_density_g_cm3=9.49 pbc="T T T"
Ac 0.0000 0.5989 7.5275
Ac 0.0000 3.1878 4.5528
Pr 0.0000 0.0000 0.0000
Hg 1.9607 1.6135 2.1729
Hg 1.9607 2.1732 9.9074

---

Stability summary: most stable model one, least stable model two.

---

Model one:
6
Lattice="3.9794 0.0000 0.0000 0.0000 3.9794 0.0000 0.0000 0.0000 15.0096" Properties=species:S:1:pos:R:3 comment="Ac4PrHg PBE optimized geometry" mass_density_g_cm3=8.73 pbc="T T T"
Ac 1.9897 1.9897 2.5994
Ac 0.0000 0.0000 9.5763
Ac 0.0000 0.0000 5.4334
Ac 1.9897 1.9897 12.4102
Pr 0.0000 0.0000 0.0000
Hg 1.9897 1.9897 7.5048

---

Model two:
12
Lattice="6.6915 -0.6244 0.0000 -2.4765 9.8033 0.0000 -2.1075 -4.5895 7.5920" Properties=species:S:1:pos:R:3 comment="Ac4PrHg PBE optimized geometry" mass_density_g_cm3=8.53 pbc="T T T"
Ac -1.8587 -1.8346 6.2394
Ac 2.0842 3.4987 4.8467
Ac -1.4870 2.1468 6.2394
Ac -1.2149 5.9924 4.8467
Ac 3.3224 -1.4030 2.7453
Ac 3.5945 2.4427 1.3526
Ac 0.0233 1.0908 2.7453
Ac 3.9662 6.4240 1.3526
Pr 0.4346 4.7456 1.8365
Pr 1.6729 -0.1561 5.7555
Hg 1.6729 -0.1561 0.0442
Hg 0.4346 4.7456 7.5478

---

Stability summary: most stable model one, least stable model two.

---

Model one:
10
Lattice="-2.8142 7.0287 -3.5271 1.9387 -7.1404 -3.8753 -5.4845 -2.8145 4.4449" Properties=species:S:1:pos:R:3 comment="AcPr3Hg PBE optimized geometry" mass_density_g_cm3=7.71 pbc="T T T"
Ac -6.7387 3.0747 0.7505
Ac 0.3788 -6.0009 -3.7081
Pr -4.0023 3.7908 -1.6127
Pr -1.5905 -3.2893 -1.4872
Pr -4.7694 0.3631 -1.4703
Pr -1.6257 1.9296 -3.5907
Pr -2.3575 -6.7170 -1.3448
Pr -4.7342 -4.8559 0.6332
Hg -2.5676 -1.0342 -3.4346
Hg -3.7923 -1.8921 0.4770

---

Model two:
10
Lattice="-3.2875 -0.0081 2.0484 4.5848 -2.6695 7.3379 1.9960 10.1565 -0.4207" Properties=species:S:1:pos:R:3 comment="AcPr3Hg PBE optimized geometry" mass_density_g_cm3=8.13 pbc="T T T"
Ac -0.5671 8.8894 1.8357
Ac 1.2145 2.4414 1.0186
Pr 3.2400 2.5321 7.9259
Pr 1.9899 6.1289 2.2671
Pr 0.6758 -0.1467 3.7980
Pr 4.0114 5.3188 5.5088
Pr 2.5579 -1.3482 6.8154
Pr 1.2190 3.3432 4.6850
Hg 3.6703 1.1554 4.9485
Hg 1.5594 7.5061 5.2442

---

Stability summary: most stable model two, least stable model one.

---

Model one:
6
Lattice="3.8113 0.0000 0.0000 0.0000 3.8113 0.0000 0.0000 0.0000 14.5481" Properties=species:S:1:pos:R:3 comment="AcPr4Hg PBE optimized geometry" mass_density_g_cm3=7.79 pbc="T T T"
Ac 0.0000 0.0000 0.0000
Pr 1.9057 1.9057 2.7435
Pr 0.0000 0.0000 9.2569
Pr 0.0000 0.0000 5.2912
Pr 1.9057 1.9057 11.8046
Hg 1.9057 1.9057 7.2740

---

Model two:
12
Lattice="5.9164 0.0000 0.0000 0.0000 8.6573 0.0000 -2.9582 0.0000 8.5195" Properties=species:S:1:pos:R:3 comment="AcPr4Hg PBE optimized geometry" mass_density_g_cm3=7.54 pbc="T T T"
Ac 2.9582 6.5523 6.4554
Ac 0.0000 2.2237 2.0641
Pr 2.9582 2.5528 7.0780
Pr 0.0000 6.8814 1.4415
Pr 2.9582 0.4279 0.0615
Pr 0.0000 4.7566 8.4580
Pr 2.9582 3.9387 3.5519
Pr 0.0000 8.2674 4.9675
Pr 2.9582 0.7496 4.1829
Pr 0.0000 5.0782 4.3365
Hg 2.9582 6.8455 2.5883
Hg 0.0000 2.5168 5.9312

---

Stability summary: most stable model one, least stable model two.